# Np4V (PBE, optimized geometry)
# crystal system	cubic
# calculated formation energy	26.55	kcal/mol of atoms
# D(E_F)	4.69	states/eV/atom
data_Np4V
_chemical_formula_sum 'Np4 V1'
_cell_length_a 5.0150
_cell_length_b 5.0150
_cell_length_c 5.0150
_cell_angle_alpha 90.00
_cell_angle_beta 90.00
_cell_angle_gamma 90.00
_symmetry_space_group_name_H-M 'P 1'
_symmetry_Int_Tables_number 1
_symmetry_space_group_name_Hall 'P 1'
loop_
_atom_site_label
_atom_site_type_symbol
_atom_site_fract_x
_atom_site_fract_y
_atom_site_fract_z
_atom_site_occupancy
Np1 Np 0.5000 0.5000 0.0000 1
Np2 Np 0.0000 0.5000 0.5000 1
Np3 Np 0.0000 0.0000 0.0000 1
Np4 Np 0.5000 0.0000 0.5000 1
V1 V 0.5000 0.5000 0.5000 1